[1]
# RbLaIn3 | Alexandria | PBEsol | relaxed
data_RbLaIn3
_cell_length_a 5.6875
_cell_length_b 5.6875
_cell_length_c 5.6875
_cell_angle_alpha 90.00
_cell_angle_beta 90.00
_cell_angle_gamma 90.00
_space_group_name_H-M_alt 'P m -3 m'
_space_group_IT_number 221
_space_group_name_Hall '-P 4 2 3'
loop_
_atom_site_label
_atom_site_fract_x
_atom_site_fract_y
_atom_site_fract_z
Rb1 0.0000 0.0000 0.0000
La1 0.5000 0.5000 0.5000
In1 0.0000 0.0000 0.5000
# * density of states at the Fermi level: 1.075 states/eV/atom
# * formation enthalpy at 0 K: 0.78 eV per atom

=====

[2]
# RbLaInRe2 | Alexandria | PBEsol | relaxed
data_RbLaInRe2
_cell_length_a 4.8440
_cell_length_b 4.8440
_cell_length_c 5.3569
_cell_angle_alpha 90.00
_cell_angle_beta 90.00
_cell_angle_gamma 90.00
_space_group_name_H-M_alt 'P 4/m m m'
_space_group_IT_number 123
_space_group_name_Hall '-P 4 2'
loop_
_atom_site_label
_atom_site_fract_x
_atom_site_fract_y
_atom_site_fract_z
Rb1 0.0000 0.0000 0.0000
La1 0.5000 0.5000 0.5000
In1 0.0000 0.0000 0.5000
Re1 0.0000 0.5000 0.0000
# * density of states at the Fermi level: 1.358 states/eV/atom
# * formation enthalpy at 0 K: 2.63 eV per atom

=====

[3]
# LaInRe2 | Alexandria | PBEsol | relaxed
data_LaInRe2
_cell_length_a 3.2428
_cell_length_b 4.6329
_cell_length_c 5.1265
_cell_angle_alpha 90.00
_cell_angle_beta 90.00
_cell_angle_gamma 90.00
_space_group_name_H-M_alt 'P m m m'
_space_group_IT_number 47
loop_
_space_group_symop_operation_xyz
'x,y,z'
'-x,-y,-z'
'-x,-y,z'
'x,y,-z'
'x,-y,-z'
'-x,y,z'
'-x,y,-z'
'x,-y,z'
loop_
_atom_site_label
_atom_site_fract_x
_atom_site_fract_y
_atom_site_fract_z
La1 0.0000 0.0000 0.0000
In1 0.5000 0.0000 0.5000
Re1 0.0000 0.5000 0.5000
Re2 0.5000 0.5000 0.0000
# * density of states at the Fermi level: 1.191 states/eV/atom
# * formation enthalpy at 0 K: 0.83 eV per atom

=====

[4]
# La4InRe | Alexandria | PBEsol | relaxed
data_La4InRe
_cell_length_a 8.6594
_cell_length_b 8.6594
_cell_length_c 8.6594
_cell_angle_alpha 90.00
_cell_angle_beta 90.00
_cell_angle_gamma 90.00
_space_group_name_H-M_alt 'F -4 3 m'
_space_group_IT_number 216
_space_group_name_Hall 'F -4 2 3'
loop_
_atom_site_label
_atom_site_fract_x
_atom_site_fract_y
_atom_site_fract_z
La1 0.1236 0.1236 0.3764
In1 0.0000 0.0000 0.0000
Re1 0.2500 0.2500 0.7500
# * density of states at the Fermi level: 1.627 states/eV/atom
# * formation enthalpy at 0 K: 0.79 eV per atom

=====

[5]
# LaIn3Re | Alexandria | PBEsol | relaxed
data_LaIn3Re
_cell_length_a 5.1152
_cell_length_b 5.1152
_cell_length_c 5.1152
_cell_angle_alpha 90.00
_cell_angle_beta 90.00
_cell_angle_gamma 90.00
_space_group_name_H-M_alt 'P m -3 m'
_space_group_IT_number 221
_space_group_name_Hall '-P 4 2 3'
loop_
_atom_site_label
_atom_site_fract_x
_atom_site_fract_y
_atom_site_fract_z
La1 0.0000 0.0000 0.0000
In1 0.0000 0.5000 0.5000
Re1 0.5000 0.5000 0.5000
# * density of states at the Fermi level: 0.569 states/eV/atom
# * formation enthalpy at 0 K: 0.11 eV per atom

=====

[6]
# LaIn2ReRu | Alexandria | PBEsol | relaxed
data_LaIn2ReRu
_cell_length_a 4.9721
_cell_length_b 4.9721
_cell_length_c 4.8197
_cell_angle_alpha 90.00
_cell_angle_beta 90.00
_cell_angle_gamma 90.00
_space_group_name_H-M_alt 'P 4/m m m'
_space_group_IT_number 123
_space_group_name_Hall '-P 4 2'
loop_
_atom_site_label
_atom_site_fract_x
_atom_site_fract_y
_atom_site_fract_z
La1 0.0000 0.0000 0.0000
In1 0.0000 0.5000 0.5000
Re1 0.5000 0.5000 0.0000
Ru1 0.5000 0.5000 0.5000
# * density of states at the Fermi level: 1.347 states/eV/atom
# * formation enthalpy at 0 K: 0.50 eV per atom

=====

[7]
# LaIn5Rh | Alexandria | PBEsol | relaxed
data_LaIn5Rh
_cell_length_a 4.6521
_cell_length_b 4.6521
_cell_length_c 7.5385
_cell_angle_alpha 90.00
_cell_angle_beta 90.00
_cell_angle_gamma 90.00
_space_group_name_H-M_alt 'P 4/m m m'
_space_group_IT_number 123
_space_group_name_Hall '-P 4 2'
loop_
_atom_site_label
_atom_site_fract_x
_atom_site_fract_y
_atom_site_fract_z
La1 0.0000 0.0000 0.0000
In1 0.0000 0.5000 0.3062
In2 0.5000 0.5000 0.0000
Rh1 0.0000 0.0000 0.5000
# * density of states at the Fermi level: 0.338 states/eV/atom
# * formation enthalpy at 0 K: -0.50 eV per atom

=====

[8]
# LaIn2Rh2 | Alexandria | PBEsol | relaxed
data_LaIn2Rh2
_cell_length_a 4.2594
_cell_length_b 4.2594
_cell_length_c 11.6706
_cell_angle_alpha 90.00
_cell_angle_beta 90.00
_cell_angle_gamma 90.00
_space_group_name_H-M_alt 'I 4/m m m'
_space_group_IT_number 139
_space_group_name_Hall '-I 4 2'
loop_
_atom_site_label
_atom_site_fract_x
_atom_site_fract_y
_atom_site_fract_z
La1 0.0000 0.0000 0.0000
In1 0.0000 0.5000 0.2500
Rh1 0.0000 0.0000 0.3936
# * density of states at the Fermi level: 0.736 states/eV/atom
# * formation enthalpy at 0 K: -0.50 eV per atom